(1)
Entry from Alexandria via LeMat-Bulk: AsPt2Br after structural relaxation (PBEsol).

Results
Total moment: 0.0 μB per cell
Energy relative to the elements, uncorrected: 0.271 eV per atom

abc: 3.7015 3.7450 5.2167
angles: 90.00 90.00 90.00
With the nearest neighbours (Å) after each atom.
Space group Pmmm (No. 47)
One atom of each set of equivalent atoms:
As (0.0000, 0.0000, 0.0000) (multiplicity 1)  6 Pt 2.61-2.63
Pt (0.0000, 0.0000, 0.5000) (multiplicity 1)  2 As 2.61, 4 Br 2.63
Pt (0.5000, 0.5000, 0.0000) (multiplicity 1)  2 Br 2.61, 4 As 2.63
Br (0.5000, 0.5000, 0.5000) (multiplicity 1)  6 Pt 2.61-2.63

(2)
Entry from Alexandria via LeMat-Bulk: SmCo5P3 after structural relaxation (PBEsol).

Results
Total moment: 3.9 μB per cell
Energy of formation: -901 meV/atom

abc: 11.6356 3.6208 10.2264
angles: 90.00 90.00 90.00
With the nearest neighbours (Å) after each atom.
Space group Pnma (No. 62)
One atom of each set of equivalent atoms:
Sm (0.2024, 0.2500, 0.0840) (multiplicity 4)  6 P 2.79-2.86, 10 Co 2.87-3.12
Co (0.0090, 0.7500, 0.7149) (multiplicity 4)  3 P 2.18-2.42
Co (0.0108, 0.7500, 0.0938) (multiplicity 4)  4 P 2.28-2.32, 1 Co 2.53
Co (0.0680, 0.7500, 0.4695) (multiplicity 4)  4 P 2.12-2.21
Co (0.1761, 0.2500, 0.7805) (multiplicity 4)  4 P 2.16-2.30
Co (0.1974, 0.2500, 0.3832) (multiplicity 4)  4 P 2.27-2.28, 2 Co 2.51
P (0.1080, 0.7500, 0.8962) (multiplicity 4)  7 Co 2.18-2.32
P (0.1102, 0.2500, 0.5835) (multiplicity 4)  5 Co 2.14-2.28
P (0.1289, 0.7500, 0.2741) (multiplicity 4)  5 Co 2.12-2.30

(3)
Entry from Alexandria via LeMat-Bulk: BiSeI2N after structural relaxation (PBEsol).

Results
Total moment: 3.1 μB per cell
Energy relative to the elements, uncorrected: 1.034 eV per atom

abc: 6.1839 6.1839 4.1980
angles: 90.00 90.00 90.00
With the nearest neighbours (Å) after each atom.
Space group P4/mmm (No. 123)
One atom of each set of equivalent atoms:
Bi (0.0000, 0.0000, 0.0000) (multiplicity 1)  2 N 2.10
Se (0.5000, 0.5000, 0.5000) (multiplicity 1)  8 I 3.74
I (0.0000, 0.5000, 0.0000) (multiplicity 2)  2 Bi 3.09
N (0.0000, 0.0000, 0.5000) (multiplicity 1)  2 Bi 2.10